The following is a PBE+U calculation of Sr3MnRuO7 after structural relaxation, from the Alexandria database.

Cell lengths 3.959, 3.959, 20.438 Å; angles 90.00, 90.00, 90.00 degrees
Space group I4mm (No. 107)
Unique sites:
Sr1 0.000 0.000 0.000 (multiplicity 2)
Sr2 0.000 0.000 0.174 (multiplicity 2)
Sr3 0.000 0.000 0.367 (multiplicity 2)
Mn1 0.000 0.000 0.581 (multiplicity 2)
Ru1 0.000 0.000 0.778 (multiplicity 2)
O1 0.000 0.000 0.486 (multiplicity 2)
O2 0.000 0.000 0.682 (multiplicity 2)
O3 0.000 0.000 0.877 (multiplicity 2)
O4 0.000 0.500 0.085 (multiplicity 4)
O5 0.000 0.500 0.280 (multiplicity 4)

## Properties
- Calculated volume: 13.35 Å³ per atom
- Calculated total energy: -163.07 eV/cell